# 1
Crystalline NdDy2Cd3Ag3 at its relaxed geometry, computed with PBE-GGA.

The structure in CIF format:
```
data_NdDy2Cd3Ag3
_chemical_formula_sum 'Nd1 Dy2 Cd3 Ag3'
_symmetry_space_group_name_H-M 'P 1'
_symmetry_Int_Tables_number 1
_symmetry_space_group_name_Hall 'P 1'
_cell_length_a 3.948
_cell_length_b 7.910
_cell_length_c 7.910
_cell_angle_alpha 120.25
_cell_angle_beta 90.00
_cell_angle_gamma 90.00
loop_
_atom_site_label
_atom_site_type_symbol
_atom_site_fract_x
_atom_site_fract_y
_atom_site_fract_z
_atom_site_occupancy
Ag1 Ag 0.000 0.002 0.002 1
Ag2 Ag 0.500 0.668 0.329 1
Ag3 Ag 0.500 0.329 0.668 1
Cd1 Cd 0.500 0.738 0.003 1
Cd2 Cd 0.500 0.260 0.260 1
Cd3 Cd 0.500 0.003 0.738 1
Dy1 Dy 0.000 0.405 0.000 1
Dy2 Dy 0.000 0.000 0.405 1
Nd1 Nd 0.000 0.595 0.595 1
```

Properties
final energy = -3.13 eV per atom
M_tot = 0.0 μB/f.u.
ΔE_f = -0.33 eV per atom

---

# 2
Crystalline RbDyCdO3 at its relaxed geometry, computed with PBE-GGA.

The structure in CIF format:
```
data_RbDyCdO3
_chemical_formula_sum 'Rb2 Dy2 Cd2 O6'
_symmetry_space_group_name_H-M 'P 1'
_symmetry_Int_Tables_number 1
_symmetry_space_group_name_Hall 'P 1'
_cell_length_a 6.981
_cell_length_b 6.981
_cell_length_c 9.185
_cell_angle_alpha 90.00
_cell_angle_beta 90.00
_cell_angle_gamma 150.29
loop_
_atom_site_label
_atom_site_type_symbol
_atom_site_fract_x
_atom_site_fract_y
_atom_site_fract_z
_atom_site_occupancy
Cd1 Cd 0.591 0.409 0.250 1
Cd2 Cd 0.409 0.591 0.750 1
Dy1 Dy 0.000 0.000 0.000 1
Dy2 Dy 0.000 0.000 0.500 1
O1 O 0.608 0.392 0.024 1
O2 O 0.978 0.022 0.250 1
O3 O 0.608 0.392 0.476 1
O4 O 0.392 0.608 0.524 1
O5 O 0.022 0.978 0.750 1
O6 O 0.392 0.608 0.976 1
Rb1 Rb 0.310 0.690 0.250 1
Rb2 Rb 0.690 0.310 0.750 1
```

Properties
final energy = -5.58 eV per atom
M_tot = 0.0 μB/f.u.

---

# 3
Crystalline TcMo2W2 at its relaxed geometry, computed with PBE-GGA.

The structure in CIF format:
```
data_TcMo2W2
_chemical_formula_sum 'Tc1 Mo2 W2'
_symmetry_space_group_name_H-M 'P 1'
_symmetry_Int_Tables_number 1
_symmetry_space_group_name_Hall 'P 1'
_cell_length_a 6.226
_cell_length_b 6.226
_cell_length_c 6.226
_cell_angle_alpha 142.04
_cell_angle_beta 142.04
_cell_angle_gamma 54.77
loop_
_atom_site_label
_atom_site_type_symbol
_atom_site_fract_x
_atom_site_fract_y
_atom_site_fract_z
_atom_site_occupancy
Mo1 Mo 0.391 0.391 0.000 1
Mo2 Mo 0.609 0.609 0.000 1
Tc1 Tc 0.000 0.000 0.000 1
W1 W 0.750 0.250 0.500 1
W2 W 0.250 0.750 0.500 1
```

Properties
final energy = -10.41 eV per atom
M_tot = 1.0 μB/f.u.
ΔE_f = 1.19 eV per atom

---

# 4
Crystalline TbEr2Pd2PtPb3 at its relaxed geometry, computed with PBE-GGA.

The structure in CIF format:
```
data_TbEr2Pd2PtPb3
_chemical_formula_sum 'Tb1 Er2 Pd2 Pt1 Pb3'
_symmetry_space_group_name_H-M 'P 1'
_symmetry_Int_Tables_number 1
_symmetry_space_group_name_Hall 'P 1'
_cell_length_a 3.910
_cell_length_b 7.793
_cell_length_c 7.793
_cell_angle_alpha 120.16
_cell_angle_beta 90.00
_cell_angle_gamma 90.00
loop_
_atom_site_label
_atom_site_type_symbol
_atom_site_fract_x
_atom_site_fract_y
_atom_site_fract_z
_atom_site_occupancy
Er1 Er 0.000 0.603 0.000 1
Er2 Er 0.000 0.000 0.603 1
Pb1 Pb 0.500 0.000 0.269 1
Pb2 Pb 0.500 0.731 0.731 1
Pb3 Pb 0.500 0.269 0.000 1
Pd1 Pd 0.500 0.669 0.333 1
Pd2 Pd 0.500 0.333 0.669 1
Pt1 Pt 0.000 0.998 0.998 1
Tb1 Tb 0.000 0.398 0.398 1
```

Properties
final energy = -5.33 eV per atom
M_tot = 0.0 μB/f.u.